Entry 1:
A relaxed Rb2CdSiBr6 crystal. Source: Alexandria via LeMat-Bulk, functional PBE-GGA.

Lattice parameters (Å, degrees): 7.809 7.809 7.809 60.00 60.00 60.00
Element x y z (fractional)
Rb: 0.250 0.250 0.250
Rb: 0.750 0.750 0.750
Cd: 0.000 0.000 0.000
Si: 0.500 0.500 0.500
Br: 0.254 0.254 0.746
Br: 0.254 0.746 0.254
Br: 0.254 0.746 0.746
Br: 0.746 0.254 0.254
Br: 0.746 0.254 0.746
Br: 0.746 0.746 0.254

Computed properties:
Space-group type: Fm-3m
Uncorrected formation energy (meV/atom): -1040
Spin magnetization (μB per cell): 0.00

***

Entry 2:
A relaxed RbCd2SiBr crystal. Source: Alexandria via LeMat-Bulk, functional PBE-GGA.

Lattice parameters (Å, degrees): 6.895 6.895 6.816 90.00 90.00 90.00
Element x y z (fractional)
Rb: 0.000 0.000 0.000
Cd: 0.000 0.500 0.000
Cd: 0.500 0.000 0.000
Si: 0.000 0.000 0.500
Br: 0.500 0.500 0.500

Computed properties:
Space-group type: P4/mmm
Uncorrected formation energy (meV/atom): 839
Spin magnetization (μB per cell): 2.00